[1]
The following is a PBE-GGA calculation of crystalline PaZn2GaO6 at its relaxed geometry, from Alexandria.

Lattice parameters (Å, degrees): 5.6706 5.6706 4.4714 90.00 90.00 90.00
Closest atoms and distances in Å follow each position.
Sites, in units of the cell vectors:
Pa  0.0000  0.0000  0.0000  5 O 2.08-2.16
Zn  0.0000  0.5000  0.2906  4 O 2.16
Zn  0.5000  0.0000  0.2906  4 O 2.16
Ga  0.5000  0.5000  0.9810  5 O 1.80-1.99
O  0.0000  0.0000  0.5342  1 Pa 2.08
O  0.2624  0.2624  0.1097  1 Ga 1.99, 1 Pa 2.16, 2 Zn 2.16
O  0.2624  0.7376  0.1097  1 Ga 1.99, 1 Pa 2.16, 2 Zn 2.16
O  0.5000  0.5000  0.5777  1 Ga 1.80
O  0.7376  0.2624  0.1097  1 Ga 1.99, 1 Pa 2.16, 2 Zn 2.16
O  0.7376  0.7376  0.1097  1 Ga 1.99, 1 Pa 2.16, 2 Zn 2.16

Results
Size of the total moment = 0.01 μB/atom
Calculated total energy = -62.9 eV per cell
Density of states at the Fermi level = 2.38 states/eV/f.u.

***

[2]
The following is a PBE-GGA calculation of crystalline PaZnGaO6 at its relaxed geometry, from Alexandria.

Lattice parameters (Å, degrees): 5.1387 5.1387 4.7870 90.00 90.00 120.00
Closest atoms and distances in Å follow each position.
Sites, in units of the cell vectors:
Pa  0.0000  0.0000  0.0000  6 O 2.18
Zn  0.3333  0.6667  0.5000  6 O 2.05
Ga  0.6667  0.3333  0.5000  6 O 1.99
O  0.3477  0.0091  0.7326  1 Ga 1.99, 1 Zn 2.05, 1 Pa 2.18
O  0.3477  0.3386  0.2674  1 Ga 1.99, 1 Zn 2.05, 1 Pa 2.18
O  0.6614  0.0091  0.2674  1 Ga 1.99, 1 Zn 2.05, 1 Pa 2.18
O  0.6614  0.6523  0.7326  1 Ga 1.99, 1 Zn 2.05, 1 Pa 2.18
O  0.9909  0.3386  0.7326  1 Ga 1.99, 1 Zn 2.05, 1 Pa 2.18
O  0.9909  0.6523  0.2674  1 Ga 1.99, 1 Zn 2.05, 1 Pa 2.18

Results
Size of the total moment = 0.12 μB/atom
Calculated total energy = -61.2 eV per cell
Density of states at the Fermi level = 8.89 states/eV/f.u.

***

[3]
The following is a PBE-GGA calculation of crystalline PaZn2GaO8 at its relaxed geometry, from Alexandria.

Lattice parameters (Å, degrees): 5.8682 5.8682 5.8682 112.40 112.40 103.77
Closest atoms and distances in Å follow each position.
Sites, in units of the cell vectors:
Pa  0.0000  0.0000  0.0000  4 O 2.04
Zn  0.2500  0.7500  0.5000  4 O 1.89
Zn  0.5000  0.5000  0.0000  4 O 1.98
Ga  0.7500  0.2500  0.5000  4 O 1.95
O  0.0554  0.3622  0.3069  1 Zn 1.89, 1 Pa 2.04
O  0.0554  0.7485  0.6931  1 Zn 1.89, 1 Pa 2.04
O  0.0927  0.2985  0.7942  1 Ga 1.95, 1 Zn 1.98
O  0.2515  0.9446  0.3069  1 Zn 1.89, 1 Pa 2.04
O  0.5042  0.2985  0.2058  1 Ga 1.95, 1 Zn 1.98
O  0.6378  0.9446  0.6931  1 Zn 1.89, 1 Pa 2.04
O  0.7015  0.4958  0.7942  1 Ga 1.95, 1 Zn 1.98
O  0.7015  0.9073  0.2058  1 Ga 1.95, 1 Zn 1.98

Results
Size of the total moment = 0.21 μB/atom
Calculated total energy = -71.8 eV per cell
Density of states at the Fermi level = 7.29 states/eV/f.u.

***

[4]
The following is a PBE-GGA calculation of crystalline PaZnGaO at its relaxed geometry, from Alexandria.

Lattice parameters (Å, degrees): 3.9994 3.9994 8.1907 90.00 90.00 90.00
Closest atoms and distances in Å follow each position.
Sites, in units of the cell vectors:
Pa  0.2500  0.2500  0.1545  4 O 2.37
Pa  0.7500  0.7500  0.8455  4 O 2.37
Zn  0.2500  0.7500  0.5000  4 Ga 2.54, 4 Zn 2.83
Zn  0.7500  0.2500  0.5000  4 Ga 2.54, 4 Zn 2.83
Ga  0.2500  0.2500  0.6915  4 Zn 2.54
Ga  0.7500  0.7500  0.3085  4 Zn 2.54
O  0.2500  0.7500  0.0000  4 Pa 2.37
O  0.7500  0.2500  0.0000  4 Pa 2.37

Results
Size of the total moment = 0.00 μB/atom
Calculated total energy = -49.2 eV per cell
Density of states at the Fermi level = 2.79 states/eV/f.u.

***

[5]
The following is a PBE-GGA calculation of crystalline ZrPaGa2O8 at its relaxed geometry, from Alexandria.

Lattice parameters (Å, degrees): 5.8735 5.8735 5.8735 108.98 108.98 110.46
Closest atoms and distances in Å follow each position.
Sites, in units of the cell vectors:
Zr  0.0000  0.0000  0.0000  8 O 2.13-2.37
Pa  0.7500  0.2500  0.5000  8 O 2.18-2.43
Ga  0.2500  0.7500  0.5000  4 O 1.85
Ga  0.5000  0.5000  0.0000  4 O 1.84
O  0.0556  0.3636  0.3080  1 Ga 1.85
O  0.0556  0.7475  0.6920  1 Ga 1.85
O  0.1147  0.2996  0.8152  1 Ga 1.84
O  0.2525  0.9444  0.3080  1 Ga 1.85
O  0.4844  0.2996  0.1848  1 Ga 1.84
O  0.6364  0.9444  0.6920  1 Ga 1.85
O  0.7004  0.5156  0.8152  1 Ga 1.84
O  0.7004  0.8853  0.1848  1 Ga 1.84

Results
Size of the total moment = 0.00 μB/atom
Calculated total energy = -94.0 eV per cell
Density of states at the Fermi level = 9.97 states/eV/f.u.

***

[6]
The following is a PBE-GGA calculation of crystalline Ga2PbO at its relaxed geometry, from Alexandria.

Lattice parameters (Å, degrees): 4.7656 4.7656 4.7656 60.00 60.00 60.00
Closest atoms and distances in Å follow each position.
Sites, in units of the cell vectors:
Ga  0.2500  0.2500  0.2500  4 O 2.92, 4 Pb 2.92
Ga  0.7500  0.7500  0.7500  4 O 2.92, 4 Pb 2.92
Pb  0.0000  0.0000  0.0000  8 Ga 2.92
O  0.5000  0.5000  0.5000  8 Ga 2.92

Results
Size of the total moment = 0.00 μB/atom
Calculated total energy = -13.8 eV per cell
Density of states at the Fermi level = 1.84 states/eV/f.u.

***

[7]
The following is a PBE-GGA calculation of crystalline GaPb2O3 at its relaxed geometry, from Alexandria.

Lattice parameters (Å, degrees): 7.8382 7.8382 3.1444 101.29 101.29 31.48
Closest atoms and distances in Å follow each position.
Sites, in units of the cell vectors:
Ga  0.0000  0.0000  0.0000  6 O 2.03-2.13
Pb  0.3493  0.3493  0.3517  2 O 2.33
Pb  0.6507  0.6507  0.6483  2 O 2.33
O  0.0868  0.0868  0.5846  2 Ga 2.03
O  0.5000  0.5000  0.0000  2 Ga 2.13
O  0.9132  0.9132  0.4154  2 Ga 2.03

Results
Size of the total moment = 0.00 μB/atom
Calculated total energy = -32.2 eV per cell
Density of states at the Fermi level = 0.47 states/eV/f.u.

***

[8]
The following is a PBE-GGA calculation of crystalline GaPb3O6 at its relaxed geometry, from Alexandria.

Lattice parameters (Å, degrees): 7.4954 7.4954 5.5146 90.00 90.00 101.33
Closest atoms and distances in Å follow each position.
Sites, in units of the cell vectors:
Ga  0.2076  0.7924  0.5000  4 O 1.85-1.92
Ga  0.7924  0.2076  0.0000  4 O 1.85-1.92
Pb  0.0830  0.2915  0.5373  6 O 2.39-2.66
Pb  0.2915  0.0830  0.0373  6 O 2.39-2.66
Pb  0.3992  0.6008  0.0856  7 O 2.21-2.42
Pb  0.6008  0.3992  0.5856  7 O 2.21-2.42
Pb  0.7085  0.9170  0.5373  6 O 2.39-2.66
Pb  0.9170  0.7085  0.0373  6 O 2.39-2.66
O  0.0568  0.9432  0.3816  1 Ga 1.87
O  0.1347  0.5755  0.3116  1 Ga 1.92
O  0.2291  0.7709  0.8326  1 Ga 1.85
O  0.3287  0.3816  0.8144  3 Pb 2.21-2.39
O  0.3816  0.3287  0.3144  3 Pb 2.21-2.39
O  0.4245  0.8653  0.3116  1 Ga 1.92
O  0.5755  0.1347  0.8116  1 Ga 1.92
O  0.6184  0.6713  0.8144  3 Pb 2.21-2.39
O  0.6713  0.6184  0.3144  3 Pb 2.21-2.39
O  0.7709  0.2291  0.3326  1 Ga 1.85
O  0.8653  0.4245  0.8116  1 Ga 1.92
O  0.9432  0.0568  0.8816  1 Ga 1.87

Results
Size of the total moment = 0.00 μB/atom
Calculated total energy = -109.9 eV per cell
Density of states at the Fermi level = 5.08 states/eV/f.u.